This record from Alexandria via LeMat-Bulk describes a relaxed structure of K2GaNi3F12. The functional is PBE with a Hubbard U.

The calculation puts the density of states at the Fermi level at 4.1 states/eV per cell. As for the crystal system: trigonal. The calculation puts the total energy at -4.319 eV per atom.

abc: 7.1323 7.1323 18.0551
angles: 90.00 90.00 120.00
Space group R-3m (No. 166, hexagonal axes)
Symmetry-distinct sites (fractional):
K (0.0000, 0.0000, 0.1208) x6
Ga (0.0000, 0.0000, 0.5000) x3
Ni (0.0000, 0.5000, 0.0000) x9
F (0.0675, 0.5337, 0.3584) x18
F (0.0729, 0.5364, 0.1092) x18